Below is an optimized crystal structure of KGa, with properties calculated at the GGA-PBE level.

Space group: Fddd
Spin magnetization in μB per atom: 0.000
ΔH_f (0 K) in kJ per mole of atoms: 8.54
Excess energy over the best structure of this formula in the dataset in meV/atom: 194
ρ in g/cm3: 2.64

a b c (Å): 6.466 16.868 10.056
angles (deg): 90.00 90.00 90.00
Atoms (fractional coordinates):
K  0.000  0.000  0.668
K  0.000  0.000  0.332
K  0.250  0.750  0.582
K  0.250  0.750  0.918
K  0.000  0.500  0.168
K  0.000  0.500  0.832
K  0.250  0.250  0.082
K  0.250  0.250  0.418
K  0.500  0.000  0.168
K  0.500  0.000  0.832
K  0.750  0.750  0.082
K  0.750  0.750  0.418
K  0.500  0.500  0.668
K  0.500  0.500  0.332
K  0.750  0.250  0.582
K  0.750  0.250  0.918
Ga  0.000  0.076  0.000
Ga  0.000  0.924  0.000
Ga  0.250  0.674  0.250
Ga  0.250  0.826  0.250
Ga  0.000  0.576  0.500
Ga  0.000  0.424  0.500
Ga  0.250  0.174  0.750
Ga  0.250  0.326  0.750
Ga  0.500  0.076  0.500
Ga  0.500  0.924  0.500
Ga  0.750  0.674  0.750
Ga  0.750  0.826  0.750
Ga  0.500  0.576  0.000
Ga  0.500  0.424  0.000
Ga  0.750  0.174  0.250
Ga  0.750  0.326  0.250